1:
Compound: TlBiPb
Source: Alexandria
Functional: PBE
Structure: optimized geometry

Summary:
Spin magnetization in μB per formula unit: 0.000

Cell and atoms, written as CIF:
```
data_TlBiPb
_cell_length_a 5.740
_cell_length_b 6.835
_cell_length_c 9.890
_cell_angle_alpha 90.00
_cell_angle_beta 90.00
_cell_angle_gamma 90.00
_symmetry_space_group_name_H-M 'I m m m'
_symmetry_Int_Tables_number 71
_symmetry_space_group_name_Hall '-I 2 2'
loop_
_atom_site_label
_atom_site_type_symbol
_atom_site_fract_x
_atom_site_fract_y
_atom_site_fract_z
Tl1 Tl 0.000 0.249 0.000
Bi1 Bi 0.000 0.000 0.337
Pb1 Pb 0.000 0.500 0.327
```

2:
Compound: TlBiPb
Source: Alexandria
Functional: PBE
Structure: optimized geometry

Summary:
Spin magnetization in μB per formula unit: 0.000

Cell and atoms, written as CIF:
```
data_TlBiPb
_cell_length_a 3.512
_cell_length_b 18.275
_cell_length_c 5.969
_cell_angle_alpha 90.00
_cell_angle_beta 90.00
_cell_angle_gamma 90.00
_symmetry_space_group_name_H-M 'C m c m'
_symmetry_Int_Tables_number 63
_symmetry_space_group_name_Hall '-C 2c 2'
loop_
_atom_site_label
_atom_site_type_symbol
_atom_site_fract_x
_atom_site_fract_y
_atom_site_fract_z
Tl1 Tl 0.000 0.225 0.250
Bi1 Bi 0.000 0.104 0.750
Pb1 Pb 0.000 0.444 0.750
```

Which of them is most stable? Easy: 1.

1:
Compound: Tl4Bi3Pb
Source: Alexandria
Functional: PBE
Structure: optimized geometry

Summary:
Spin magnetization in μB per formula unit: 0.000

Cell and atoms, written as CIF:
```
data_Tl4Bi3Pb
_cell_length_a 4.360
_cell_length_b 5.086
_cell_length_c 12.854
_cell_angle_alpha 90.00
_cell_angle_beta 90.00
_cell_angle_gamma 90.00
_symmetry_space_group_name_H-M 'P m m 2'
_symmetry_Int_Tables_number 25
loop_
_symmetry_equiv_pos_as_xyz
'x,y,z'
'-x,-y,z'
'-x,y,z'
'x,-y,z'
loop_
_atom_site_label
_atom_site_type_symbol
_atom_site_fract_x
_atom_site_fract_y
_atom_site_fract_z
Tl1 Tl 0.000 0.000 0.000
Tl2 Tl 0.000 0.500 0.480
Tl3 Tl 0.500 0.000 0.274
Tl4 Tl 0.500 0.500 0.775
Bi1 Bi 0.000 0.000 0.720
Bi2 Bi 0.000 0.500 0.212
Bi3 Bi 0.500 0.000 0.546
Pb1 Pb 0.500 0.500 0.040
```

2:
Compound: Tl4Bi3Pb
Source: Alexandria
Functional: PBE
Structure: optimized geometry

Summary:
Spin magnetization in μB per formula unit: 0.000

Cell and atoms, written as CIF:
```
data_Tl4Bi3Pb
_cell_length_a 3.447
_cell_length_b 5.422
_cell_length_c 13.856
_cell_angle_alpha 90.00
_cell_angle_beta 90.00
_cell_angle_gamma 90.00
_symmetry_space_group_name_H-M 'P m m 2'
_symmetry_Int_Tables_number 25
loop_
_symmetry_equiv_pos_as_xyz
'x,y,z'
'-x,-y,z'
'-x,y,z'
'x,-y,z'
loop_
_atom_site_label
_atom_site_type_symbol
_atom_site_fract_x
_atom_site_fract_y
_atom_site_fract_z
Tl1 Tl 0.000 0.000 0.000
Tl2 Tl 0.000 0.500 0.352
Tl3 Tl 0.500 0.000 0.497
Tl4 Tl 0.500 0.500 0.852
Bi1 Bi 0.000 0.000 0.740
Bi2 Bi 0.000 0.500 0.610
Bi3 Bi 0.500 0.500 0.106
Pb1 Pb 0.500 0.000 0.245
```

Which of them is most stable? Easy: 2.

1:
Compound: Tl3Bi2Pb6
Source: Alexandria
Functional: PBE
Structure: optimized geometry

Summary:
Spin magnetization in μB per formula unit: 0.000

Cell and atoms, written as CIF:
```
data_Tl3Bi2Pb6
_cell_length_a 11.563
_cell_length_b 11.563
_cell_length_c 11.563
_cell_angle_alpha 90.00
_cell_angle_beta 90.00
_cell_angle_gamma 90.00
_symmetry_space_group_name_H-M 'I m -3 m'
_symmetry_Int_Tables_number 229
_symmetry_space_group_name_Hall '-I 4 2 3'
loop_
_atom_site_label
_atom_site_type_symbol
_atom_site_fract_x
_atom_site_fract_y
_atom_site_fract_z
Tl1 Tl 0.000 0.000 0.253
Bi1 Bi 0.250 0.250 0.250
Pb1 Pb 0.000 0.354 0.354
```

2:
Compound: Tl3Bi2Pb6
Source: Alexandria
Functional: PBE
Structure: optimized geometry

Summary:
Spin magnetization in μB per formula unit: 0.000

Cell and atoms, written as CIF:
```
data_Tl3Bi2Pb6
_cell_length_a 4.625
_cell_length_b 4.625
_cell_length_c 35.613
_cell_angle_alpha 90.00
_cell_angle_beta 90.00
_cell_angle_gamma 90.00
_symmetry_space_group_name_H-M 'I 4/m m m'
_symmetry_Int_Tables_number 139
_symmetry_space_group_name_Hall '-I 4 2'
loop_
_atom_site_label
_atom_site_type_symbol
_atom_site_fract_x
_atom_site_fract_y
_atom_site_fract_z
Tl1 Tl 0.000 0.000 0.000
Tl2 Tl 0.000 0.000 0.173
Bi1 Bi 0.000 0.000 0.359
Pb1 Pb 0.000 0.000 0.267
Pb2 Pb 0.000 0.500 0.072
```

Which of them is most stable? Easy: 1.